Record 1
Computed, not measured: a geometry-optimized Ba2Hg3Pd5 structure at the PBE level of DFT.

a = 9.471 Å, b = 9.471 Å, c = 9.471 Å
α = 109.20°, β = 83.53°, γ = 141.62°
Atoms (fractional coordinates):
Ba: 0.128 0.241 0.369
Ba: 0.372 0.741 0.113
Ba: 0.628 0.259 0.887
Ba: 0.872 0.759 0.631
Hg: 0.149 0.915 0.065
Hg: 0.250 0.750 0.500
Hg: 0.351 0.415 0.766
Hg: 0.649 0.585 0.234
Hg: 0.750 0.250 0.500
Hg: 0.851 0.085 0.935
Pd: 0.050 0.750 0.300
Pd: 0.110 0.670 0.780
Pd: 0.250 0.250 0.000
Pd: 0.390 0.170 0.560
Pd: 0.450 0.750 0.700
Pd: 0.550 0.250 0.300
Pd: 0.610 0.830 0.440
Pd: 0.750 0.750 0.000
Pd: 0.890 0.330 0.220
Pd: 0.950 0.250 0.700

Record 2
Computed, not measured: a geometry-optimized Ba2Hg2Pd structure at the PBE level of DFT.

Output
Offset from the most stable computed form: 6.255 kcal/mol of atoms

a = 6.592 Å, b = 6.592 Å, c = 8.260 Å
α = 90.00°, β = 90.00°, γ = 90.00°
Atoms (fractional coordinates):
Ba: 0.000 0.500 0.250
Ba: 0.000 0.500 0.750
Ba: 0.500 0.000 0.250
Ba: 0.500 0.000 0.750
Hg: 0.000 0.000 0.169
Hg: 0.000 0.000 0.831
Hg: 0.500 0.500 0.331
Hg: 0.500 0.500 0.669
Pd: 0.000 0.000 0.500
Pd: 0.500 0.500 0.000

Record 3
Computed, not measured: a geometry-optimized Ba2Hg3Pd structure at the PBE level of DFT.

a = 10.068 Å, b = 9.734 Å, c = 6.639 Å
α = 73.15°, β = 67.72°, γ = 39.13°
Atoms (fractional coordinates):
Ba: 0.249 0.751 0.751
Ba: 0.250 0.250 0.250
Ba: 0.750 0.750 0.750
Ba: 0.751 0.249 0.249
Hg: 0.155 0.673 0.327
Hg: 0.326 0.326 0.674
Hg: 0.327 0.845 0.155
Hg: 0.673 0.155 0.845
Hg: 0.674 0.674 0.326
Hg: 0.845 0.327 0.673
Pd: 0.166 0.166 0.834
Pd: 0.834 0.834 0.166

Record 4
Computed, not measured: a geometry-optimized Ba8HgPd3 structure at the PBE level of DFT.

a = 9.193 Å, b = 9.193 Å, c = 9.211 Å
α = 117.37°, β = 117.37°, γ = 62.81°
Atoms (fractional coordinates):
Ba: 0.226 0.755 0.747
Ba: 0.245 0.245 0.724
Ba: 0.245 0.774 0.253
Ba: 0.246 0.246 0.255
Ba: 0.754 0.754 0.745
Ba: 0.755 0.226 0.747
Ba: 0.755 0.755 0.276
Ba: 0.774 0.245 0.253
Hg: 0.500 0.500 0.000
Pd: 0.000 0.000 0.000
Pd: 0.000 0.500 0.500
Pd: 0.500 0.000 0.500

Record 5
Computed, not measured: a geometry-optimized Ba2Hg5Pd4 structure at the PBE level of DFT.

a = 10.165 Å, b = 9.223 Å, c = 6.089 Å
α = 80.36°, β = 63.45°, γ = 36.20°
Atoms (fractional coordinates):
Ba: 0.143 0.143 0.857
Ba: 0.857 0.857 0.143
Hg: 0.000 0.000 0.500
Hg: 0.250 0.250 0.250
Hg: 0.500 0.500 0.000
Hg: 0.500 0.500 0.500
Hg: 0.750 0.750 0.750
Pd: 0.217 0.526 0.474
Pd: 0.474 0.783 0.217
Pd: 0.526 0.217 0.783
Pd: 0.783 0.474 0.526

Record 6
Computed, not measured: a geometry-optimized BaHg3Pd3 structure at the PBE level of DFT.

Output
Offset from the most stable computed form: 4.610 kcal/mol of atoms

a = 7.495 Å, b = 7.495 Å, c = 7.495 Å
α = 90.00°, β = 90.00°, γ = 90.00°
Atoms (fractional coordinates):
Ba: 0.000 0.000 0.000
Ba: 0.500 0.500 0.500
Hg: 0.000 0.250 0.500
Hg: 0.000 0.750 0.500
Hg: 0.250 0.500 0.000
Hg: 0.500 0.000 0.250
Hg: 0.500 0.000 0.750
Hg: 0.750 0.500 0.000
Pd: 0.000 0.500 0.250
Pd: 0.000 0.500 0.750
Pd: 0.250 0.000 0.500
Pd: 0.500 0.250 0.000
Pd: 0.500 0.750 0.000
Pd: 0.750 0.000 0.500

Record 7
Computed, not measured: a geometry-optimized Ba3Hg8Pd3 structure at the PBE level of DFT.

a = 9.257 Å, b = 9.257 Å, c = 9.257 Å
α = 149.41°, β = 107.46°, γ = 80.74°
Atoms (fractional coordinates):
Ba: 0.000 0.000 0.000
Ba: 0.327 0.327 0.000
Ba: 0.673 0.673 0.000
Hg: 0.029 0.669 0.360
Hg: 0.172 0.885 0.287
Hg: 0.309 0.669 0.640
Hg: 0.402 0.115 0.287
Hg: 0.598 0.885 0.713
Hg: 0.691 0.331 0.360
Hg: 0.828 0.115 0.713
Hg: 0.971 0.331 0.640
Pd: 0.292 0.500 0.792
Pd: 0.500 0.000 0.500
Pd: 0.708 0.500 0.208

Record 8
Computed, not measured: a geometry-optimized BaHg2Pd2 structure at the PBE level of DFT.

Output
Offset from the most stable computed form: 0.458 kcal/mol of atoms

a = 6.369 Å, b = 6.468 Å, c = 7.132 Å
α = 111.06°, β = 111.18°, γ = 93.70°
Atoms (fractional coordinates):
Ba: 0.094 0.202 0.343
Ba: 0.906 0.798 0.657
Hg: 0.174 0.419 0.912
Hg: 0.490 0.088 0.813
Hg: 0.510 0.912 0.187
Hg: 0.826 0.581 0.088
Pd: 0.291 0.720 0.386
Pd: 0.462 0.629 0.754
Pd: 0.538 0.371 0.246
Pd: 0.709 0.280 0.614

Record 9
Computed, not measured: a geometry-optimized Ba4Hg3Pd structure at the PBE level of DFT.

a = 4.109 Å, b = 4.109 Å, c = 16.662 Å
α = 90.00°, β = 90.00°, γ = 90.00°
Atoms (fractional coordinates):
Ba: 0.000 0.000 0.112
Ba: 0.000 0.000 0.371
Ba: 0.000 0.000 0.629
Ba: 0.000 0.000 0.888
Hg: 0.500 0.500 0.242
Hg: 0.500 0.500 0.500
Hg: 0.500 0.500 0.758
Pd: 0.500 0.500 0.000

Record 10
Computed, not measured: a geometry-optimized BaHgPd structure at the PBE level of DFT.

a = 4.731 Å, b = 4.731 Å, c = 7.842 Å
α = 90.00°, β = 90.00°, γ = 90.00°
Atoms (fractional coordinates):
Ba: 0.250 0.250 0.170
Ba: 0.750 0.750 0.830
Hg: 0.250 0.750 0.500
Hg: 0.750 0.250 0.500
Pd: 0.250 0.250 0.726
Pd: 0.750 0.750 0.274

Record 11
Computed, not measured: a geometry-optimized Ba5HgPd2 structure at the PBE level of DFT.

a = 10.251 Å, b = 10.251 Å, c = 10.251 Å
α = 129.56°, β = 129.56°, γ = 74.12°
Atoms (fractional coordinates):
Ba: 0.000 0.000 0.000
Ba: 0.035 0.535 0.838
Ba: 0.196 0.035 0.500
Ba: 0.304 0.804 0.838
Ba: 0.465 0.304 0.500
Ba: 0.500 0.500 0.000
Ba: 0.535 0.696 0.500
Ba: 0.696 0.196 0.162
Ba: 0.804 0.965 0.500
Ba: 0.965 0.465 0.162
Hg: 0.250 0.250 0.000
Hg: 0.750 0.750 0.000
Pd: 0.121 0.379 0.500
Pd: 0.379 0.879 0.257
Pd: 0.621 0.121 0.743
Pd: 0.879 0.621 0.500

Record 12
Computed, not measured: a geometry-optimized Ba3Hg7Pd4 structure at the PBE level of DFT.

a = 9.130 Å, b = 9.130 Å, c = 10.471 Å
α = 123.07°, β = 123.07°, γ = 30.50°
Atoms (fractional coordinates):
Ba: 0.000 0.000 0.000
Ba: 0.311 0.311 0.307
Ba: 0.689 0.689 0.693
Hg: 0.000 0.000 0.500
Hg: 0.159 0.159 0.422
Hg: 0.315 0.315 0.970
Hg: 0.497 0.497 0.726
Hg: 0.503 0.503 0.274
Hg: 0.685 0.685 0.030
Hg: 0.841 0.841 0.578
Pd: 0.116 0.116 0.830
Pd: 0.336 0.336 0.721
Pd: 0.664 0.664 0.279
Pd: 0.884 0.884 0.170

| no. | calculated formation energy (eV/atom) | total energy (eV per cell) |
| --- | --- | --- |
| 1 | -0.40 | -69.497 |
| 2 | -0.27 | -22.021 |
| 3 | -0.52 | -26.096 |
| 4 | -0.38 | -35.840 |
| 5 | -0.38 | -30.303 |
| 6 | -0.05 | -37.484 |
| 7 | -0.41 | -29.539 |
| 8 | -0.40 | -29.821 |
| 9 | -0.50 | -17.790 |
| 10 | -0.45 | -17.525 |
| 11 | -0.44 | -47.618 |
| 12 | -0.45 | -34.895 |